No. 1
# SnC GGA-PBE relaxed
data_SnC
_cell_length_a 9.360
_cell_length_b 4.333
_cell_length_c 5.003
_cell_angle_alpha 90.00
_cell_angle_beta 114.23
_cell_angle_gamma 90.00
_symmetry_space_group_name_H-M 'C 1 2/m 1'
_symmetry_Int_Tables_number 12
loop_
_symmetry_equiv_pos_as_xyz
'x,y,z'
'-x,-y,-z'
'-x,y,-z'
'x,-y,z'
'x+1/2,y+1/2,z'
'-x+1/2,-y+1/2,-z'
'-x+1/2,y+1/2,-z'
'x+1/2,-y+1/2,z'
loop_
_atom_site_label
_atom_site_type_symbol
_atom_site_fract_x
_atom_site_fract_y
_atom_site_fract_z
Sn1 Sn 0.113 0.000 0.363
C1 C 0.000 0.351 0.000
# E above lowest polymorph   0.01 eV per formula unit
# Density   4.7 g/cm³
# Crystal system   monoclinic
# Energy relative to the elements   0.82 eV per atom



No. 2
# SnC GGA-PBE relaxed
data_SnC
_cell_length_a 10.221
_cell_length_b 3.520
_cell_length_c 6.398
_cell_angle_alpha 90.00
_cell_angle_beta 90.00
_cell_angle_gamma 90.00
_symmetry_space_group_name_H-M 'P m n 21'
_symmetry_Int_Tables_number 31
loop_
_symmetry_equiv_pos_as_xyz
'x,y,z'
'-x+1/2,-y,z+1/2'
'-x,y,z'
'x+1/2,-y,z+1/2'
loop_
_atom_site_label
_atom_site_type_symbol
_atom_site_fract_x
_atom_site_fract_y
_atom_site_fract_z
Sn1 Sn 0.000 0.010 0.000
Sn2 Sn 0.205 0.353 0.708
C1 C 0.000 0.501 0.785
C2 C 0.212 0.146 0.056
# E above lowest polymorph   0.82 eV per formula unit
# Density   5.7 g/cm³
# Crystal system   orthorhombic
# Energy relative to the elements   1.22 eV per atom



No. 3
# SnC GGA-PBE relaxed
data_SnC
_cell_length_a 6.466
_cell_length_b 6.484
_cell_length_c 7.409
_cell_angle_alpha 90.00
_cell_angle_beta 90.00
_cell_angle_gamma 90.00
_symmetry_space_group_name_H-M 'P 21 21 21'
_symmetry_Int_Tables_number 19
loop_
_symmetry_equiv_pos_as_xyz
'x,y,z'
'-x+1/2,-y,z+1/2'
'x+1/2,-y+1/2,-z'
'-x,y+1/2,-z+1/2'
loop_
_atom_site_label
_atom_site_type_symbol
_atom_site_fract_x
_atom_site_fract_y
_atom_site_fract_z
Sn1 Sn 0.148 0.058 0.223
Sn2 Sn 0.165 0.593 0.968
C1 C 0.156 0.406 0.216
C2 C 0.184 0.108 0.522
# E above lowest polymorph   0.61 eV per formula unit
# Density   5.6 g/cm³
# Crystal system   orthorhombic
# Energy relative to the elements   1.12 eV per atom



No. 4
# SnC GGA-PBE relaxed
data_SnC
_cell_length_a 6.201
_cell_length_b 6.201
_cell_length_c 3.592
_cell_angle_alpha 90.00
_cell_angle_beta 90.00
_cell_angle_gamma 90.00
_symmetry_space_group_name_H-M 'P 42/m n m'
_symmetry_Int_Tables_number 136
_symmetry_space_group_name_Hall '-P 4n 2n'
loop_
_atom_site_label
_atom_site_type_symbol
_atom_site_fract_x
_atom_site_fract_y
_atom_site_fract_z
Sn1 Sn 0.181 0.181 0.000
C1 C 0.179 0.821 0.000
# E above lowest polymorph   0.14 eV per formula unit
# Density   6.3 g/cm³
# Crystal system   tetragonal
# Energy relative to the elements   0.88 eV per atom



No. 5
# SnC GGA-PBE relaxed
data_SnC
_cell_length_a 3.5751
_cell_length_b 3.5751
_cell_length_c 6.1051
_cell_angle_alpha 90.00
_cell_angle_beta 90.00
_cell_angle_gamma 120.00
_symmetry_space_group_name_H-M 'P -3 m 1'
_symmetry_Int_Tables_number 164
_symmetry_space_group_name_Hall '-P 3 2"'
loop_
_atom_site_label
_atom_site_type_symbol
_atom_site_fract_x
_atom_site_fract_y
_atom_site_fract_z
Sn1 Sn 0.3333 0.6667 0.2062
C1 C 0.0000 0.0000 0.3852
# E above lowest polymorph   0.04 eV per formula unit
# Density   6.4 g/cm³
# Crystal system   trigonal
# Energy relative to the elements   0.83 eV per atom



No. 6
# SnC GGA-PBE relaxed
data_SnC
_cell_length_a 3.270
_cell_length_b 3.270
_cell_length_c 3.072
_cell_angle_alpha 90.00
_cell_angle_beta 90.00
_cell_angle_gamma 90.00
_symmetry_space_group_name_H-M 'P 4/m m m'
_symmetry_Int_Tables_number 123
_symmetry_space_group_name_Hall '-P 4 2'
loop_
_atom_site_label
_atom_site_type_symbol
_atom_site_fract_x
_atom_site_fract_y
_atom_site_fract_z
Sn1 Sn 0.000 0.000 0.000
C1 C 0.500 0.500 0.000
# E above lowest polymorph   1.94 eV per formula unit
# Density   6.6 g/cm³
# Crystal system   tetragonal
# Energy relative to the elements   1.78 eV per atom



No. 7
# SnC GGA-PBE relaxed
data_SnC
_cell_length_a 6.933
_cell_length_b 6.933
_cell_length_c 6.933
_cell_angle_alpha 90.00
_cell_angle_beta 90.00
_cell_angle_gamma 90.00
_symmetry_space_group_name_H-M 'I -4 3 m'
_symmetry_Int_Tables_number 217
_symmetry_space_group_name_Hall 'I -4 2 3'
loop_
_atom_site_label
_atom_site_type_symbol
_atom_site_fract_x
_atom_site_fract_y
_atom_site_fract_z
Sn1 Sn 0.164 0.164 0.836
C1 C 0.160 0.160 0.160
# E above lowest polymorph   0.58 eV per formula unit
# Density   5.2 g/cm³
# Crystal system   cubic
# Energy relative to the elements   1.10 eV per atom



No. 8
# SnC GGA-PBE relaxed
data_SnC
_cell_length_a 7.091
_cell_length_b 9.861
_cell_length_c 10.029
_cell_angle_alpha 90.00
_cell_angle_beta 90.00
_cell_angle_gamma 90.00
_symmetry_space_group_name_H-M 'F d d d'
_symmetry_Int_Tables_number 70
loop_
_symmetry_equiv_pos_as_xyz
'x,y,z'
'-x,-y,-z'
'-x+1/4,-y+1/4,z'
'x+1/4,y+1/4,-z'
'x,-y+1/4,-z+1/4'
'-x,y+1/4,z+1/4'
'-x+1/4,y,-z+1/4'
'x+1/4,-y,z+1/4'
'x,y+1/2,z+1/2'
'-x,-y+1/2,-z+1/2'
'-x+1/4,-y+3/4,z+1/2'
'x+1/4,y+3/4,-z+1/2'
'x,-y+3/4,-z+3/4'
'-x,y+3/4,z+3/4'
'-x+1/4,y+1/2,-z+3/4'
'x+1/4,-y+1/2,z+3/4'
'x+1/2,y,z+1/2'
'-x+1/2,-y,-z+1/2'
'-x+3/4,-y+1/4,z+1/2'
'x+3/4,y+1/4,-z+1/2'
'x+1/2,-y+1/4,-z+3/4'
'-x+1/2,y+1/4,z+3/4'
'-x+3/4,y,-z+3/4'
'x+3/4,-y,z+3/4'
'x+1/2,y+1/2,z'
'-x+1/2,-y+1/2,-z'
'-x+3/4,-y+3/4,z'
'x+3/4,y+3/4,-z'
'x+1/2,-y+3/4,-z+1/4'
'-x+1/2,y+3/4,z+1/4'
'-x+3/4,y+1/2,-z+1/4'
'x+3/4,-y+1/2,z+1/4'
loop_
_atom_site_label
_atom_site_type_symbol
_atom_site_fract_x
_atom_site_fract_y
_atom_site_fract_z
Sn1 Sn 0.125 0.287 0.125
C1 C 0.125 0.125 0.285
# E above lowest polymorph   0.68 eV per formula unit
# Density   5.0 g/cm³
# Crystal system   orthorhombic
# Energy relative to the elements   1.15 eV per atom